1.
A plane-wave DFT calculation with PBE was carried out for crystalline CoOs2RuRh at its relaxed geometry.

Lattice parameters (Å, degrees): 4.5980 4.5980 4.4054 90.00 90.00 90.00
Last column: nearest neighbours and their distance in Å.
Positions (direct):
Co1 0.0000 0.0000 0.0000  2 Ru 2.20
Os1 0.0000 0.5000 0.5000  2 Ru 2.30
Os2 0.5000 0.0000 0.5000  2 Ru 2.30
Ru1 0.0000 0.0000 0.5000  2 Co 2.20, 4 Os 2.30
Rh1 0.5000 0.5000 0.0000  8 Os 3.18, 4 Co 3.25

Properties
formation energy from the elements	203.8	kJ/mol of atoms
E_tot	-7.126	eV per atom
calculated volume	93.1	Å³/f.u.

***

2.
A plane-wave DFT calculation with PBE was carried out for crystalline SrCd2I2 at its relaxed geometry.

Lattice parameters (Å, degrees): 11.2964 11.2964 11.2964 158.76 158.76 30.22
Last column: nearest neighbours and their distance in Å.
Positions (direct):
Sr1 0.0000 0.0000 0.0000  8 I 3.50
Cd1 0.2500 0.7500 0.5000  4 Cd 2.94
Cd2 0.7500 0.2500 0.5000  4 Cd 2.94
I1 0.4129 0.4129 0.0000  4 Sr 3.50, 1 I 3.80
I2 0.5871 0.5871 0.0000  4 Sr 3.50, 1 I 3.80

Properties
E_tot	-2.110	eV per atom
energy above the lowest structure with this stoichiometry	0	meV per atom
ΔE_f (raw)	-0.787	eV per atom
calculated volume	189.2	Å³/f.u.

***

3.
A plane-wave DFT calculation with PBE was carried out for crystalline Cr2CoRe at its relaxed geometry.

Lattice parameters (Å, degrees): 2.5602 2.5602 7.5318 90.00 90.00 90.00
Last column: nearest neighbours and their distance in Å.
Positions (direct):
Cr1 0.0000 0.0000 0.2248  4 Co 2.48, 4 Cr 2.56, 4 Re 2.75
Cr2 0.0000 0.0000 0.7752  4 Co 2.48, 4 Cr 2.56, 4 Re 2.75
Co1 0.5000 0.5000 0.0000  8 Cr 2.48, 4 Co 2.56
Re1 0.5000 0.5000 0.5000  4 Re 2.56, 8 Cr 2.75

Properties
formation energy from the elements	17.0	kJ/mol of atoms
E_tot	-9.524	eV per atom
calculated volume	49.4	Å³/f.u.

***

4.
A plane-wave DFT calculation with PBE was carried out for crystalline NiPt4 at its relaxed geometry.

Lattice parameters (Å, degrees): 4.6266 7.8302 4.4513 90.00 90.00 90.00
Last column: nearest neighbours and their distance in Å.
Positions (direct):
Ni1 0.0000 0.0000 0.0000  10 Pt 2.61-2.66
Ni2 0.5000 0.5000 0.0000  10 Pt 2.61-2.66
Pt1 0.0015 0.3333 0.0000  3 Ni 2.61-2.66, 7 Pt 2.61-2.77
Pt2 0.1643 0.8540 0.5000  2 Ni 2.62, 7 Pt 2.71-2.83
Pt3 0.3357 0.3540 0.5000  2 Ni 2.62, 7 Pt 2.71-2.83
Pt4 0.4985 0.8333 0.0000  3 Ni 2.61-2.66, 7 Pt 2.61-2.77
Pt5 0.5015 0.1667 0.0000  3 Ni 2.61-2.66, 7 Pt 2.61-2.77
Pt6 0.6643 0.6460 0.5000  2 Ni 2.62, 7 Pt 2.71-2.83
Pt7 0.8357 0.1460 0.5000  2 Ni 2.62, 7 Pt 2.71-2.83
Pt8 0.9985 0.6667 0.0000  3 Ni 2.61-2.66, 7 Pt 2.61-2.77

Properties
formation energy from the elements	17.9	kJ/mol of atoms
E_tot	-5.803	eV per atom
energy above the lowest structure with this stoichiometry	229	meV per atom
calculated volume	80.6	Å³/f.u.

***

5.
A plane-wave DFT calculation with PBE was carried out for crystalline K3CrCu2Cl9 at its relaxed geometry.

Lattice parameters (Å, degrees): 6.9318 6.9318 8.5140 90.00 90.00 120.00
Last column: nearest neighbours and their distance in Å.
Positions (direct):
K1 0.0000 0.0000 0.0000  12 Cl 3.47-3.48
K2 0.3333 0.6667 0.6695  12 Cl 3.45-3.48
K3 0.6667 0.3333 0.3305  12 Cl 3.45-3.48
Cr1 0.0000 0.0000 0.5000  6 Cl 2.38
Cu1 0.3333 0.6667 0.1508  6 Cl 2.38-2.60
Cu2 0.6667 0.3333 0.8492  6 Cl 2.38-2.60
Cl1 0.0000 0.5000 0.0000  2 Cu 2.38
Cl2 0.1625 0.3251 0.3390  1 Cr 2.38, 1 Cu 2.60
Cl3 0.1625 0.8375 0.3390  1 Cr 2.38, 1 Cu 2.60
Cl4 0.3251 0.1625 0.6610  1 Cr 2.38, 1 Cu 2.60
Cl5 0.5000 0.0000 0.0000  2 Cu 2.38
Cl6 0.5000 0.5000 0.0000  2 Cu 2.38
Cl7 0.6749 0.8375 0.3390  1 Cr 2.38, 1 Cu 2.60
Cl8 0.8375 0.1625 0.6610  1 Cr 2.38, 1 Cu 2.60
Cl9 0.8375 0.6749 0.6610  1 Cr 2.38, 1 Cu 2.60

Properties
E_tot	-3.745	eV per atom
ΔE_f (raw)	-1.229	eV per atom
calculated volume	354.3	Å³/f.u.

***

6.
A plane-wave DFT calculation with PBE was carried out for crystalline TePBrCl2 at its relaxed geometry.

Lattice parameters (Å, degrees): 5.0424 5.0424 5.3836 90.00 90.00 90.00
Last column: nearest neighbours and their distance in Å.
Positions (direct):
Te1 0.0000 0.0000 0.0000  4 P 3.57, 8 Cl 3.69
P1 0.5000 0.5000 0.0000  2 Br 2.69
Br1 0.5000 0.5000 0.5000  4 Cl 2.52, 2 P 2.69
Cl1 0.0000 0.5000 0.5000  2 Br 2.52
Cl2 0.5000 0.0000 0.5000  2 Br 2.52

Properties
E_tot	-2.006	eV per atom
energy above the lowest structure with this stoichiometry	454	meV per atom
ΔE_f (raw)	0.777	eV per atom
calculated volume	136.9	Å³/f.u.

***

7.
A plane-wave DFT calculation with PBE was carried out for crystalline AcNdTe2Cl at its relaxed geometry.

Lattice parameters (Å, degrees): 4.5564 4.5564 15.3413 90.00 90.00 90.00
Last column: nearest neighbours and their distance in Å.
Positions (direct):
Ac1 0.2500 0.2500 0.0918  6 Te 3.29-3.48
Ac2 0.7500 0.7500 0.9082  6 Te 3.29-3.48
Nd1 0.2500 0.2500 0.6295  4 Cl 3.02, 4 Te 3.36
Nd2 0.7500 0.7500 0.3705  4 Cl 3.02, 4 Te 3.36
Te1 0.2500 0.2500 0.3094  1 Ac 3.34, 4 Nd 3.36, 4 Cl 3.71
Te2 0.2500 0.2500 0.8648  5 Ac 3.29-3.48, 1 Nd 3.61
Te3 0.7500 0.7500 0.1352  5 Ac 3.29-3.48, 1 Nd 3.61
Te4 0.7500 0.7500 0.6906  1 Ac 3.34, 4 Nd 3.36, 4 Cl 3.71
Cl1 0.2500 0.7500 0.5000  4 Nd 3.02, 4 Cl 3.22
Cl2 0.7500 0.2500 0.5000  4 Nd 3.02, 4 Cl 3.22

Properties
E_tot	-5.036	eV per atom
ΔE_f (raw)	-1.635	eV per atom
calculated volume	159.3	Å³/f.u.

***

8.
A plane-wave DFT calculation with PBE was carried out for crystalline Tb8ThSc2 at its relaxed geometry.

Lattice parameters (Å, degrees): 9.0084 9.0084 5.6805 103.60 103.60 121.63
Last column: nearest neighbours and their distance in Å.
Positions (direct):
Tb1 0.0960 0.3273 0.6607  7 Tb 3.26-3.64, 2 Sc 3.31-3.43
Tb2 0.2120 0.7880 0.0000  2 Sc 3.21, 1 Th 3.33, 4 Tb 3.57-3.59
Tb3 0.3273 0.0960 0.6607  7 Tb 3.26-3.64, 2 Sc 3.31-3.43
Tb4 0.4176 0.4176 0.2105  1 Tb 2.89
Tb5 0.5824 0.5824 0.7895  1 Tb 2.89
Tb6 0.6727 0.9040 0.3393  7 Tb 3.26-3.64, 2 Sc 3.31-3.43
Tb7 0.7880 0.2120 0.0000  2 Sc 3.21, 1 Th 3.33, 4 Tb 3.57-3.59
Tb8 0.9040 0.6727 0.3393  7 Tb 3.26-3.64, 2 Sc 3.31-3.43
Th1 0.0000 0.0000 0.0000  4 Tb 3.26-3.33
Sc1 0.3073 0.6927 0.5000  8 Tb 3.21-3.43
Sc2 0.6927 0.3073 0.5000  8 Tb 3.21-3.43

Properties
formation energy from the elements	18.5	kJ/mol of atoms
E_tot	-5.001	eV per atom
calculated volume	343.9	Å³/f.u.